## ZnP2Rh (PBEsol)

Data for a relaxed ZnP2Rh crystal.

Its total energy is -21.005 eV per formula unit. As for the formation enthalpy at 0 K: 75 meV per atom.

The structure in POSCAR format:
```
ZnP2Rh
1.0
-0.767 -2.686 -2.033
2.334 -2.337 2.207
-3.091 -0.883 2.333
Zn P Rh
1 2 1
Cartesian
-0.384 -1.343 -1.017 Zn
-1.546 -0.442 1.167 P
1.167 -1.169 1.104 P
-0.763 -2.953 1.253 Rh
```

---

## CrTc2PbW (PBEsol)

Data for a relaxed CrTc2PbW crystal.

Its total energy is -41.658 eV per formula unit. As for the formation enthalpy at 0 K: 1784 meV per atom.

The structure in POSCAR format:
```
CrTc2PbW
1.0
4.334 0.000 0.000
0.000 4.334 0.000
0.000 0.000 4.788
Cr Tc Pb W
1 2 1 1
Cartesian
0.000 0.000 0.000 Cr
0.000 2.167 0.000 Tc
2.167 0.000 0.000 Tc
0.000 0.000 2.394 Pb
2.167 2.167 2.394 W
```

---

## LiCuO (PBEsol)

Data for a relaxed LiCuO crystal.

As for the formation energy without anion corrections: -1.08 eV per atom. Its total energy is -14.796 eV per formula unit.

The structure in POSCAR format:
```
LiCuO
1.0
-0.197 -0.577 3.325
4.310 -2.141 -0.117
2.119 4.312 -0.845
O Cu Li
2 2 2
Cartesian
3.840 -0.395 0.159 O
2.392 1.989 2.205 O
2.155 -1.070 -0.058 Cu
0.000 0.000 0.000 Cu
4.072 -0.026 1.954 Li
2.160 1.620 0.409 Li
```

---

## RbAg2Bi2 (PBEsol)

Data for a relaxed RbAg2Bi2 crystal.

Its total energy is -16.672 eV per formula unit. As for the formation enthalpy at 0 K: -91 meV per atom.

The structure in POSCAR format:
```
RbAg2Bi2
1.0
-4.824 0.225 0.965
0.898 -1.030 4.732
2.475 6.301 -1.662
Rb Ag Bi
1 2 2
Cartesian
0.000 0.000 0.000 Rb
-2.156 3.061 1.076 Ag
0.705 2.434 2.959 Ag
0.382 4.399 0.885 Bi
-1.833 1.096 3.150 Bi
```

---

## AlIr3 (PBEsol)

Data for a relaxed AlIr3 crystal.

Its total energy is -35.133 eV per formula unit. As for the formation enthalpy at 0 K: -393 meV per atom.

The structure in POSCAR format:
```
AlIr3
1.0
2.739 0.000 0.000
0.000 4.611 -0.004
0.000 -1.366 4.404
Ir Al
3 1
Cartesian
1.370 -0.683 2.202 Ir
0.000 1.623 2.200 Ir
1.370 2.305 -0.002 Ir
0.000 0.000 0.000 Al
```

---

## LaTeP2 (PBEsol)

Data for a relaxed LaTeP2 crystal.

As for the formation energy without anion corrections: -0.51 eV per atom. Its total energy is -22.482 eV per formula unit.

The structure in POSCAR format:
```
LaTeP2
1.0
3.975 0.000 0.000
0.000 5.283 0.000
-1.988 -2.642 4.224
P Te La
2 1 1
Cartesian
0.000 0.000 2.395 P
1.988 2.642 1.829 P
0.000 2.642 0.000 Te
1.988 0.000 0.000 La
```

---

## KTl2CuBi (PBEsol)

Data for a relaxed KTl2CuBi crystal.

Its total energy is -13.183 eV per formula unit. As for the formation enthalpy at 0 K: 366 meV per atom.

The structure in POSCAR format:
```
KTl2CuBi
1.0
-3.785 0.850 -3.003
-0.432 -6.025 -1.160
-3.889 -0.630 4.723
Cu Tl Bi K
1 2 1 1
Cartesian
-1.892 0.425 -1.501 Cu
-0.216 -3.012 -0.580 Tl
-1.944 -0.315 2.362 Tl
0.000 0.000 0.000 Bi
-4.053 -2.903 0.280 K
```

---

## SrCa2P (PBEsol)

Data for a relaxed SrCa2P crystal.

Its total energy is -12.855 eV per formula unit. As for the formation enthalpy at 0 K: -239 meV per atom.

The structure in POSCAR format:
```
SrCa2P
1.0
4.617 0.000 0.000
0.000 4.617 0.000
-2.308 -2.308 5.405
P Ca Sr
1 2 1
Cartesian
2.308 2.308 0.000 P
0.000 2.308 2.702 Ca
2.308 0.000 2.702 Ca
0.000 0.000 0.000 Sr
```

---

## MnSeI3 (PBEsol)

Data for a relaxed MnSeI3 crystal.

As for the formation energy without anion corrections: 0.57 eV per atom. Its total energy is -16.054 eV per formula unit. Its energy above the most stable polymorph in this dataset is 261 meV/atom.

The structure in POSCAR format:
```
MnSeI3
1.0
5.663 0.000 0.000
0.000 5.663 0.000
0.000 0.000 5.663
I Se Mn
3 1 1
Cartesian
0.000 0.000 2.831 I
0.000 2.831 0.000 I
2.831 0.000 0.000 I
0.000 0.000 0.000 Se
2.831 2.831 2.831 Mn
```

---

## SiTc2P (PBEsol)

Data for a relaxed SiTc2P crystal.

As for the formation energy without anion corrections: -0.55 eV per atom. Its total energy is -36.281 eV per formula unit. Its energy above the most stable polymorph in this dataset is 0 meV/atom.

The structure in POSCAR format:
```
SiTc2P
1.0
-2.571 -1.354 1.013
1.629 -1.420 2.238
-0.481 5.814 1.876
P Tc Si
1 2 1
Cartesian
-0.866 4.029 3.187 P
-0.077 0.359 0.284 Tc
-1.851 1.956 2.589 Tc
0.420 1.123 2.569 Si
```

---

## CaFe2Pt (PBEsol)

Data for a relaxed CaFe2Pt crystal.

Its total energy is -26.795 eV per formula unit. As for the formation enthalpy at 0 K: 57 meV per atom.

The structure in POSCAR format:
```
CaFe2Pt
1.0
2.999 0.000 0.000
0.000 2.999 0.000
0.000 0.000 6.933
Pt Ca Fe
1 1 2
Cartesian
0.000 0.000 3.159 Pt
1.499 1.499 5.228 Ca
1.499 1.499 1.541 Fe
0.000 0.000 0.471 Fe
```

---

## ScZnFe (PBEsol)

Data for a relaxed ScZnFe crystal.

Its total energy is -17.440 eV per formula unit. As for the formation enthalpy at 0 K: -97 meV per atom.

The structure in POSCAR format:
```
ScZnFe
1.0
-0.243 2.330 1.773
-3.375 -0.206 -0.192
1.773 -3.776 2.772
Sc Fe Zn
1 1 1
Cartesian
-1.821 0.200 1.922 Sc
-1.845 -1.590 4.272 Fe
-0.026 -1.913 2.511 Zn
```

---

Repeat the third record exactly.
## LiCuO (PBEsol)

Data for a relaxed LiCuO crystal.

As for the formation energy without anion corrections: -1.08 eV per atom. Its total energy is -14.796 eV per formula unit.

The structure in POSCAR format:
```
LiCuO
1.0
-0.197 -0.577 3.325
4.310 -2.141 -0.117
2.119 4.312 -0.845
O Cu Li
2 2 2
Cartesian
3.840 -0.395 0.159 O
2.392 1.989 2.205 O
2.155 -1.070 -0.058 Cu
0.000 0.000 0.000 Cu
4.072 -0.026 1.954 Li
2.160 1.620 0.409 Li
```